# Ho4V6O19

Crystalline Ho4V6O19 at its relaxed geometry (PBE with a Hubbard U, Alexandria). Values from VASP.

The value obtained for the electronic total energy is -228.285 eV per formula unit. The space group is C2.

Geometry as Quantum ESPRESSO input:
```
&SYSTEM
  ibrav = 0, nat = 29, ntyp = 3
/
ATOMIC_SPECIES
O 16.00 O.upf
V 50.94 V.upf
Ho 164.93 Ho.upf
ATOMIC_POSITIONS crystal
O 0.7111 0.7432 0.3978
O 0.7400 0.3789 0.7030
O 0.0349 0.2879 0.6770
O 0.2600 0.9630 0.6389
V 0.1595 0.6544 0.4957
O 0.6082 0.3393 0.3138
Ho 0.2953 0.3010 0.2912
Ho 0.0161 0.0049 0.7073
O 0.6396 0.2563 0.9564
O 0.3604 0.3169 0.6167
O 0.3538 0.0020 0.3532
O 0.0000 0.3363 0.3363
O 0.3918 0.7056 0.7312
V 0.3354 0.5147 0.8549
O 0.2889 0.6867 0.0321
O 0.3472 0.3469 0.0036
V 0.5000 0.8613 0.3613
V 0.8405 0.3362 0.4949
O 0.9651 0.6421 0.2530
O 0.3234 0.6142 0.3409
O 0.0000 0.6477 0.6476
Ho 0.9839 0.6912 0.9888
Ho 0.7048 0.9959 0.0058
V 0.5000 0.1832 0.6832
O 0.0000 0.9974 0.9974
V 0.6646 0.5194 0.1793
O 0.6766 0.0175 0.2908
O 0.6528 0.6564 0.9997
O 0.6462 0.9994 0.6482
CELL_PARAMETERS angstrom
-3.9867 5.8167 3.0921
-1.7592 -0.6998 -7.4448
-1.7802 -6.5531 3.5920
```